[1]
This record from the Alexandria database describes Pm2Nd2Sm after structural relaxation. The functional is PBE.

Cell lengths 3.6592, 3.6592, 44.7411 Å; angles 90.00, 90.00, 120.00 degrees
With the nearest neighbours (Å) after each atom.
Space group R-3m (No. 166, hexagonal axes)
Inequivalent atoms, fractional coordinates:
Pm (0.0000, 0.0000, 0.1006) (multiplicity 6)  3 Sm 3.63, 6 Pm 3.66, 3 Nd 3.66
Nd (0.0000, 0.0000, 0.2997) (multiplicity 6)  9 Nd 3.66-3.68, 3 Pm 3.66
Sm (0.0000, 0.0000, 0.5000) (multiplicity 3)  6 Pm 3.63, 6 Sm 3.66

Summary:
Calculated volume (Å³/atom): 34.59
Raw total energy (eV per atom): -4.7408

***

[2]
This record from the Alexandria database describes Pm4Nd11Sm9 after structural relaxation. The functional is PBE.

Cell lengths 17.2223, 26.0559, 3.7342 Å; angles 90.00, 90.00, 90.00 degrees
With the nearest neighbours (Å) after each atom.
Space group Cmmm (No. 65)
Inequivalent atoms, fractional coordinates:
Pm (0.1566, 0.1012, 0.0000) (multiplicity 8)  6 Nd 3.36-3.47, 2 Sm 3.59-3.61, 2 Pm 3.73
Nd (0.0000, 0.1325, 0.5000) (multiplicity 4)  4 Pm 3.38, 4 Sm 3.69, 2 Nd 3.73
Nd (0.0000, 0.3396, 0.5000) (multiplicity 4)  5 Nd 3.73-4.18, 8 Sm 3.76-3.78
Nd (0.0000, 0.5000, 0.5000) (multiplicity 2)  8 Sm 3.58, 2 Nd 3.73
Nd (0.2100, 0.0000, 0.5000) (multiplicity 4)  4 Pm 3.36, 2 Nd 3.73, 4 Sm 3.74
Nd (0.2241, 0.3192, 0.5000) (multiplicity 8)  2 Pm 3.47, 6 Sm 3.58-3.79, 3 Nd 3.71-3.73
Sm (0.0000, 0.0000, 0.0000) (multiplicity 2)  2 Sm 3.73, 4 Pm 3.77, 8 Nd 3.93-4.07
Sm (0.1019, 0.2342, 0.0000) (multiplicity 8)  3 Sm 3.51-3.73, 8 Nd 3.58-3.79, 1 Pm 3.59
Sm (0.1382, 0.4266, 0.0000) (multiplicity 8)  8 Nd 3.58-3.78, 1 Pm 3.61, 3 Sm 3.73-3.83

Summary:
Calculated volume (Å³/atom): 34.91
Raw total energy (eV per atom): -4.6868

***

[3]
This record from the Alexandria database describes PmNd6Sm5 after structural relaxation. The functional is PBE.

Cell lengths 6.3406, 10.9829, 12.1083 Å; angles 90.00, 100.09, 90.00 degrees
With the nearest neighbours (Å) after each atom.
Space group C2/m (No. 12)
Inequivalent atoms, fractional coordinates:
Pm (0.0000, 0.0000, 0.0000) (multiplicity 2)  6 Nd 3.65-3.66, 6 Sm 3.66
Nd (0.2494, 0.5000, 0.2502) (multiplicity 4)  5 Sm 3.65, 1 Pm 3.66, 6 Nd 3.66
Nd (0.2495, 0.1667, 0.2502) (multiplicity 8)  5 Sm 3.65-3.66, 1 Pm 3.65, 6 Nd 3.66
Sm (0.0000, 0.1667, 0.5000) (multiplicity 4)  6 Nd 3.65, 6 Sm 3.66
Sm (0.0000, 0.3334, 0.0000) (multiplicity 4)  6 Nd 3.65-3.66, 3 Sm 3.66, 3 Pm 3.66
Sm (0.0000, 0.5000, 0.5000) (multiplicity 2)  6 Nd 3.65, 6 Sm 3.66

Summary:
Calculated volume (Å³/atom): 34.59
Raw total energy (eV per atom): -4.7339

***

[4]
This record from the Alexandria database describes Pm3NdSm7 after structural relaxation. The functional is PBE.

Cell lengths 11.8282, 10.1895, 6.4776 Å; angles 90.00, 95.36, 90.00 degrees
With the nearest neighbours (Å) after each atom.
Space group C2/m (No. 12)
Inequivalent atoms, fractional coordinates:
Pm (0.0000, 0.0000, 0.0000) (multiplicity 2)  6 Sm 3.52-3.69, 4 Pm 3.69
Pm (0.0000, 0.1725, 0.5000) (multiplicity 4)  7 Sm 3.34-3.60, 3 Pm 3.52-3.69
Nd (0.0000, 0.5000, 0.0000) (multiplicity 2)  4 Sm 3.24-3.47
Sm (0.0000, 0.5000, 0.5000) (multiplicity 2)  2 Nd 3.24, 2 Pm 3.34, 2 Sm 3.51
Sm (0.2374, 0.0000, 0.7109) (multiplicity 4)  5 Sm 3.35-3.55, 1 Nd 3.47, 3 Pm 3.48-3.52
Sm (0.2468, 0.3269, 0.7608) (multiplicity 8)  6 Sm 3.35-3.73, 3 Pm 3.57-3.69

Summary:
Calculated volume (Å³/atom): 35.33
Raw total energy (eV per atom): -4.5158

***

[5]
This record from the Alexandria database describes Pm2Nd5Sm after structural relaxation. The functional is PBE.

Cell lengths 8.7833, 11.6137, 12.0429 Å; angles 96.10, 109.42, 100.11 degrees
With the nearest neighbours (Å) after each atom.
Space group P-1 (No. 2)
Inequivalent atoms, fractional coordinates:
Pm (0.0342, 0.3696, 0.0925) (multiplicity 2)  4 Pm 3.54-3.96, 9 Nd 3.65-3.91
Pm (0.1738, 0.5948, 0.3818) (multiplicity 2)  4 Pm 3.54-3.82, 8 Nd 3.58-3.73
Pm (0.2029, 0.4265, 0.8579) (multiplicity 2)  3 Nd 3.29-3.59, 4 Pm 3.48-3.67
Pm (0.2181, 0.3590, 0.5740) (multiplicity 2)  3 Pm 3.48-3.77, 8 Nd 3.59-3.85, 1 Sm 3.67
Nd (0.0757, 0.1309, 0.2828) (multiplicity 2)  9 Nd 3.65-3.97, 2 Sm 3.70-3.86, 2 Pm 3.77-3.85
Nd (0.1279, 0.8963, 0.4880) (multiplicity 2)  7 Nd 3.54-3.85, 3 Sm 3.61-3.71, 2 Pm 3.67-3.73
Nd (0.1443, 0.8342, 0.1983) (multiplicity 2)  6 Nd 3.39-3.72, 1 Sm 3.68, 3 Pm 3.69-3.73
Nd (0.1673, 0.0809, 0.0061) (multiplicity 2)  4 Nd 3.15-3.39, 2 Sm 3.41-3.44
Nd (0.1687, 0.6550, 0.6780) (multiplicity 2)  6 Pm 3.58-3.76, 5 Nd 3.59-3.83, 1 Sm 3.63
Nd (0.3445, 0.8563, 0.9714) (multiplicity 2)  5 Nd 3.32-3.72, 1 Sm 3.64, 1 Pm 3.65
Nd (0.3820, 0.6272, 0.1607) (multiplicity 2)  6 Nd 3.54-3.91, 1 Sm 3.61, 6 Pm 3.68-3.91
Nd (0.4326, 0.3883, 0.3680) (multiplicity 2)  4 Nd 3.36-3.73, 4 Pm 3.59-3.71, 1 Sm 3.75
Nd (0.4434, 0.3381, 0.0908) (multiplicity 2)  3 Pm 3.29-3.68, 5 Nd 3.32-3.59
Nd (0.4748, 0.1493, 0.5530) (multiplicity 2)  3 Sm 3.53-3.71, 7 Nd 3.63-3.86, 2 Pm 3.64-3.69
Sm (0.2642, 0.1277, 0.7602) (multiplicity 2)  7 Nd 3.41-3.81, 1 Sm 3.62, 2 Pm 3.67-3.73
Sm (0.4940, 0.0898, 0.2648) (multiplicity 2)  9 Nd 3.44-3.75, 1 Sm 3.62

Summary:
Calculated volume (Å³/atom): 35.08
Raw total energy (eV per atom): -4.6937

***

[6]
This record from the Alexandria database describes Pm5Nd2Sm2 after structural relaxation. The functional is PBE.

Cell lengths 17.9764, 3.5365, 10.0031 Å; angles 90.00, 98.72, 90.00 degrees
With the nearest neighbours (Å) after each atom.
Space group C2/m (No. 12)
Inequivalent atoms, fractional coordinates:
Pm (0.0000, 0.0000, 0.0000) (multiplicity 2)  2 Sm 3.43, 4 Pm 3.54-3.59, 4 Nd 3.60
Pm (0.1707, 0.5000, 0.5389) (multiplicity 4)  3 Sm 3.51-3.56, 6 Pm 3.54-3.75, 2 Nd 3.54-3.59
Pm (0.1761, 0.0000, 0.8713) (multiplicity 4)  7 Pm 3.54-3.84, 3 Sm 3.61-3.66, 2 Nd 3.79
Nd (0.0042, 0.5000, 0.6875) (multiplicity 4)  3 Nd 3.54-3.73, 6 Pm 3.54-3.79, 2 Sm 3.69
Sm (0.1627, 0.0000, 0.2279) (multiplicity 4)  7 Pm 3.43-3.66, 2 Sm 3.54, 2 Nd 3.69

Summary:
Calculated volume (Å³/atom): 34.92
Raw total energy (eV per atom): -4.6134

***

Number 1: E_form 0.010 eV/atom. Number 2: E_form 0.060 eV/atom. Number 3: E_form 0.012 eV/atom. Number 4: E_form 0.216 eV/atom. Number 5: E_form 0.064 eV/atom. Number 6: E_form 0.134 eV/atom.